The following is a DFT calculation (GGA+U) of a relaxed structure of CsNa2Mo2O7.

The structure in POSCAR format:
```
CsNa2Mo2O7
1.0
3.2298 1.8647 8.5662
-3.2298 1.8647 8.5662
0.0000 -3.7294 8.5662
Cs Na Mo O
1 2 2 7
Direct
0.0000 0.0000 0.0000
0.2650 0.2650 0.2650
0.7350 0.7350 0.7350
0.4257 0.4257 0.4257
0.5743 0.5743 0.5743
0.1194 0.4474 0.6393
0.3607 0.5526 0.8806
0.4474 0.6393 0.1194
0.5000 0.5000 0.5000
0.5526 0.8806 0.3607
0.6393 0.1194 0.4474
0.8806 0.3607 0.5526
```

The total energy comes out at -6.038 eV/atom. Its space group is R32, No. 155. The density of states at the Fermi level is 6.71 states/eV per cell. The spin magnetization comes out at 1.0 μB/f.u.